DFT (PBE) results for crystalline B3PtAu at its relaxed geometry.

abc: 4.166 4.166 4.166
angles: 90.00 90.00 90.00
Positions (direct):
B 0.000 0.000 0.500
B 0.000 0.500 0.000
B 0.500 0.000 0.000
Pt 0.000 0.000 0.000
Au 0.500 0.500 0.500

Summary:
ρ: 9.75 g/cm³
SG: Pm-3m (221)
Energy of formation: 1.121 eV/atom
Distance to the lowest polymorph of the same formula: 0 meV per atom


DFT (PBE) results for crystalline Ag5Pd4Au at its relaxed geometry.

abc: 8.400 9.233 4.941
angles: 90.00 90.00 90.00
Positions (direct):
Ag 0.082 0.007 0.244
Ag 0.082 0.493 0.244
Ag 0.250 0.750 0.070
Ag 0.418 0.007 0.244
Ag 0.418 0.493 0.244
Ag 0.582 0.507 0.756
Ag 0.582 0.993 0.756
Ag 0.750 0.250 0.930
Ag 0.918 0.507 0.756
Ag 0.918 0.993 0.756
Pd 0.084 0.750 0.568
Pd 0.250 0.504 0.745
Pd 0.250 0.996 0.745
Pd 0.416 0.750 0.568
Pd 0.584 0.250 0.432
Pd 0.750 0.004 0.255
Pd 0.750 0.496 0.255
Pd 0.916 0.250 0.432
Au 0.250 0.250 0.472
Au 0.750 0.750 0.528

Summary:
ρ: 10.07 g/cm³
SG: Pmmn (59)
Energy of formation: 0.132 eV/atom
Distance to the lowest polymorph of the same formula: 62 meV per atom